Entry 1:
{
  "formula": "CuRePb2",
  "functional": "GGA-PBE",
  "state": "relaxed",
  "lattice": [[8.963, 0.000, 0.000], [0.000, 3.389, 0.000], [-1.185, 0.000, 5.412]],
  "species": ["Cu", "Cu", "Re", "Re", "Pb", "Pb", "Pb", "Pb"],
  "fractional_positions": [[0.000, 0.000, 0.000], [0.500, 0.500, 0.000], [0.000, 0.500, 0.500], [0.500, 0.000, 0.500], [0.247, 0.000, 0.744], [0.253, 0.500, 0.256], [0.747, 0.500, 0.744], [0.753, 0.000, 0.256]],
  "delta_e_f_ev_per_atom": 0.96,
  "relative_energy_mev_per_atom": 361
}

Entry 2:
{
  "formula": "CeNiH6Ir",
  "functional": "GGA-PBE",
  "state": "relaxed",
  "lattice": [[4.624, 0.000, 0.000], [-2.312, 4.004, 0.000], [0.000, 0.000, 4.205]],
  "species": ["Ce", "Ni", "H", "H", "H", "H", "H", "H", "Ir"],
  "fractional_positions": [[0.000, 0.000, 0.000], [0.333, 0.667, 0.500], [0.006, 0.503, 0.241], [0.006, 0.503, 0.759], [0.497, 0.503, 0.241], [0.497, 0.503, 0.759], [0.497, 0.994, 0.241], [0.497, 0.994, 0.759], [0.667, 0.333, 0.500]],
  "e_tot_ev_per_atom": -4.86
}

Entry 3:
{
  "formula": "Sr2Hg3Pd4Pb",
  "functional": "GGA-PBE",
  "state": "relaxed",
  "lattice": [[4.496, 0.000, 0.000], [0.000, 4.496, 0.000], [0.000, 0.000, 12.039]],
  "species": ["Sr", "Sr", "Hg", "Hg", "Hg", "Pd", "Pd", "Pd", "Pd", "Pb"],
  "fractional_positions": [[0.000, 0.500, 0.238], [0.500, 0.000, 0.762], [0.000, 0.500, 0.867], [0.500, 0.000, 0.133], [0.500, 0.500, 0.500], [0.000, 0.000, 0.000], [0.000, 0.500, 0.643], [0.500, 0.000, 0.357], [0.500, 0.500, 0.000], [0.000, 0.000, 0.500]],
  "delta_e_f_ev_per_atom": -0.42
}

Entry 4:
{
  "formula": "Cu2IrAu",
  "functional": "GGA-PBE",
  "state": "relaxed",
  "lattice": [[9.896, 0.000, 0.000], [0.000, 2.698, 0.000], [-1.836, 0.000, 4.272]],
  "species": ["Cu", "Cu", "Cu", "Cu", "Ir", "Ir", "Au", "Au"],
  "fractional_positions": [[0.000, 0.000, 0.000], [0.241, 0.500, 0.389], [0.500, 0.500, 0.000], [0.741, 0.000, 0.389], [0.488, 0.000, 0.486], [0.988, 0.500, 0.486], [0.246, 0.000, 0.891], [0.746, 0.500, 0.891]],
  "delta_e_f_ev_per_atom": 0.15
}

Entry 5:
{
  "formula": "CdMoPb2",
  "functional": "GGA-PBE",
  "state": "relaxed",
  "lattice": [[4.892, 0.000, 0.000], [0.000, 3.450, 0.000], [0.000, 0.000, 11.117]],
  "species": ["Cd", "Cd", "Mo", "Mo", "Pb", "Pb", "Pb", "Pb"],
  "fractional_positions": [[0.000, 0.000, 0.000], [0.000, 0.500, 0.500], [0.500, 0.000, 0.149], [0.500, 0.500, 0.649], [0.000, 0.000, 0.728], [0.000, 0.500, 0.228], [0.500, 0.000, 0.420], [0.500, 0.500, 0.920]],
  "delta_e_f_ev_per_atom": 0.54
}

Entry 6:
{
  "formula": "DyPuZrO6",
  "functional": "GGA-PBE",
  "state": "relaxed",
  "lattice": [[5.621, 0.000, 0.000], [-2.810, 4.868, 0.000], [0.000, 0.000, 9.525]],
  "species": ["Dy", "Dy", "Pu", "Pu", "Zr", "Zr", "O", "O", "O", "O", "O", "O", "O", "O", "O", "O", "O", "O"],
  "fractional_positions": [[0.000, 0.000, 0.000], [0.000, 0.000, 0.500], [0.333, 0.667, 0.250], [0.667, 0.333, 0.750], [0.333, 0.667, 0.750], [0.667, 0.333, 0.250], [0.002, 0.348, 0.635], [0.002, 0.654, 0.865], [0.346, 0.348, 0.865], [0.346, 0.998, 0.635], [0.348, 0.002, 0.135], [0.348, 0.346, 0.365], [0.652, 0.654, 0.635], [0.652, 0.998, 0.865], [0.654, 0.002, 0.365], [0.654, 0.652, 0.135], [0.998, 0.346, 0.135], [0.998, 0.652, 0.365]],
  "e_form_raw_ev_per_atom": -3.111
}

Entry 7:
{
  "formula": "LaThPa",
  "functional": "GGA-PBE",
  "state": "relaxed",
  "lattice": [[5.600, 0.000, 0.000], [-2.800, 4.850, 0.000], [0.000, 0.000, 3.423]],
  "species": ["La", "Th", "Pa"],
  "fractional_positions": [[0.000, 0.000, 0.000], [0.333, 0.667, 0.501], [0.667, 0.333, 0.499]],
  "delta_e_f_ev_per_atom": 0.34,
  "relative_energy_mev_per_atom": 183
}

Entry 8:
{
  "formula": "LiPrMgIn",
  "functional": "GGA-PBE",
  "state": "relaxed",
  "lattice": [[7.327, 0.000, 0.000], [0.000, 7.327, 0.000], [0.000, 0.000, 7.327]],
  "species": ["Li", "Li", "Li", "Li", "Pr", "Pr", "Pr", "Pr", "Mg", "Mg", "Mg", "Mg", "In", "In", "In", "In"],
  "fractional_positions": [[0.000, 0.000, 0.000], [0.000, 0.500, 0.500], [0.500, 0.000, 0.500], [0.500, 0.500, 0.000], [0.250, 0.250, 0.750], [0.250, 0.750, 0.250], [0.750, 0.250, 0.250], [0.750, 0.750, 0.750], [0.250, 0.250, 0.250], [0.250, 0.750, 0.750], [0.750, 0.250, 0.750], [0.750, 0.750, 0.250], [0.000, 0.000, 0.500], [0.000, 0.500, 0.000], [0.500, 0.000, 0.000], [0.500, 0.500, 0.500]],
  "delta_e_f_ev_per_atom": -0.30
}

Entry 9:
{
  "formula": "Ca3AcBi2S",
  "functional": "GGA-PBE",
  "state": "relaxed",
  "lattice": [[5.302, 0.000, 0.000], [0.000, 5.647, 0.000], [0.000, 0.000, 16.729]],
  "species": ["Ca", "Ca", "Ca", "Ca", "Ca", "Ca", "Ac", "Ac", "Bi", "Bi", "Bi", "Bi", "S", "S"],
  "fractional_positions": [[0.000, 0.000, 0.000], [0.000, 0.500, 0.326], [0.000, 0.500, 0.674], [0.500, 0.000, 0.174], [0.500, 0.000, 0.826], [0.500, 0.500, 0.500], [0.000, 0.000, 0.500], [0.500, 0.500, 0.000], [0.000, 0.500, 0.137], [0.000, 0.500, 0.863], [0.500, 0.000, 0.363], [0.500, 0.000, 0.637], [0.000, 0.500, 0.500], [0.500, 0.000, 0.000]],
  "e_form_raw_ev_per_atom": -1.022
}

Entry 10:
{
  "formula": "LaCeHg4",
  "functional": "GGA-PBE",
  "state": "relaxed",
  "lattice": [[0.000, 4.293, 4.293], [4.293, 0.000, 4.293], [4.293, 4.293, 0.000]],
  "species": ["La", "Ce", "Hg", "Hg", "Hg", "Hg"],
  "fractional_positions": [[0.000, 0.000, 0.000], [0.750, 0.750, 0.750], [0.375, 0.375, 0.375], [0.375, 0.375, 0.875], [0.375, 0.875, 0.375], [0.875, 0.375, 0.375]],
  "delta_e_f_ev_per_atom": -0.26,
  "relative_energy_mev_per_atom": 161
}

Entry 11:
{
  "formula": "Zn4Pt3",
  "functional": "GGA-PBE",
  "state": "relaxed",
  "lattice": [[5.382, 0.000, 0.000], [-2.691, 4.661, 0.000], [0.000, 0.000, 4.538]],
  "species": ["Zn", "Zn", "Zn", "Zn", "Pt", "Pt", "Pt"],
  "fractional_positions": [[0.000, 0.000, 0.250], [0.000, 0.000, 0.750], [0.333, 0.667, 0.000], [0.667, 0.333, 0.000], [0.000, 0.500, 0.500], [0.500, 0.000, 0.500], [0.500, 0.500, 0.500]],
  "delta_e_f_ev_per_atom": -0.26,
  "relative_energy_mev_per_atom": 211
}

Entry 12:
{
  "formula": "InRhS2N",
  "functional": "GGA-PBE",
  "state": "relaxed",
  "lattice": [[4.933, 0.000, 0.000], [0.000, 4.933, 0.000], [0.000, 0.000, 3.671]],
  "species": ["In", "Rh", "S", "S", "N"],
  "fractional_positions": [[0.000, 0.000, 0.000], [0.500, 0.500, 0.500], [0.000, 0.500, 0.500], [0.500, 0.000, 0.500], [0.500, 0.500, 0.000]],
  "e_form_raw_ev_per_atom": 0.283,
  "relative_energy_mev_per_atom": 0
}

Here are the calculated calculated volume numbers, same order: 82.19; 77.85; 243.37; 57.03; 93.82; 130.30; 92.98; 98.34; 250.43; 158.26; 113.82; 89.34 (Å³/f.u.).